# 1
The following is a PBE calculation of an optimized crystal structure of NdEr2FeN4, from the Alexandria database.

Cell and atoms, written as POSCAR:
```
NdEr2FeN4
1.0
3.386 0.000 0.000
-1.693 5.681 0.000
0.000 0.000 11.434
N Er Nd Fe
8 4 2 2
Direct
0.734 0.467 0.628
0.584 0.168 0.250
0.734 0.467 0.872
0.000 0.000 0.000
0.416 0.832 0.750
0.266 0.533 0.372
0.266 0.533 0.128
0.000 0.000 0.500
0.632 0.264 0.455
0.368 0.736 0.545
0.368 0.736 0.955
0.632 0.264 0.045
0.888 0.776 0.250
0.112 0.224 0.750
0.843 0.687 0.750
0.157 0.313 0.250
```

Summary:
E_form (uncorrected): -1161 meV per atom
SG: Cmcm (63)
DFT total energy: -8.118 eV per atom

***

# 2
The following is a PBE calculation of an optimized crystal structure of ErPaFeN4, from the Alexandria database.

Cell and atoms, written as POSCAR:
```
ErPaFeN4
1.0
-0.658 3.527 -0.878
-3.576 -0.788 -0.485
1.066 -0.136 6.424
N Er Pa Fe
4 1 1 1
Direct
0.496 0.996 0.991
0.996 0.496 0.991
0.827 0.827 0.655
0.178 0.178 0.355
0.640 0.640 0.281
0.359 0.359 0.718
0.005 0.005 0.009
```

Summary:
E_form (uncorrected): -1023 meV per atom
SG: I4mm (107)
DFT total energy: -8.997 eV per atom